Entry 1:
Material: BaGa2Pt5
Method: DFT, PBE
State: optimized geometry

Unit cell a=4.039 b=7.322 c=10.201 alpha=90.00 beta=90.00 gamma=90.00
Sites, in units of the cell vectors:
1 Ba 0.000 0.000 0.000
2 Ba 0.500 0.500 0.500
3 Ga 0.000 0.500 0.242
4 Ga 0.000 0.500 0.758
5 Ga 0.500 0.000 0.258
6 Ga 0.500 0.000 0.742
7 Pt 0.000 0.192 0.351
8 Pt 0.000 0.192 0.649
9 Pt 0.000 0.500 0.000
10 Pt 0.000 0.808 0.351
11 Pt 0.000 0.808 0.649
12 Pt 0.500 0.000 0.500
13 Pt 0.500 0.308 0.149
14 Pt 0.500 0.308 0.851
15 Pt 0.500 0.692 0.149
16 Pt 0.500 0.692 0.851

E_form, meV per atom: -646
DOS at the Fermi energy, states/eV per cell: 4.9
Crystal system: orthorhombic

***

Entry 2:
Material: CaYAgGe
Method: DFT, PBE
State: optimized geometry

Unit cell a=7.248 b=7.248 c=7.248 alpha=90.00 beta=90.00 gamma=90.00
Sites, in units of the cell vectors:
1 Ca 0.000 0.000 0.000
2 Ca 0.000 0.500 0.500
3 Ca 0.500 0.000 0.500
4 Ca 0.500 0.500 0.000
5 Y 0.000 0.000 0.500
6 Y 0.000 0.500 0.000
7 Y 0.500 0.000 0.000
8 Y 0.500 0.500 0.500
9 Ag 0.250 0.250 0.750
10 Ag 0.250 0.750 0.250
11 Ag 0.750 0.250 0.250
12 Ag 0.750 0.750 0.750
13 Ge 0.250 0.250 0.250
14 Ge 0.250 0.750 0.750
15 Ge 0.750 0.250 0.750
16 Ge 0.750 0.750 0.250

E_form, meV per atom: -537
DOS at the Fermi energy, states/eV per cell: 6.7
Crystal system: cubic

***

Entry 3:
Material: AsP3Os
Method: DFT, PBE
State: optimized geometry

Unit cell a=4.594 b=4.594 c=4.594 alpha=90.00 beta=90.00 gamma=90.00
Sites, in units of the cell vectors:
1 As 0.000 0.000 0.000
2 P 0.000 0.500 0.500
3 P 0.500 0.000 0.500
4 P 0.500 0.500 0.000
5 Os 0.500 0.500 0.500

E_form, meV per atom: 787
DOS at the Fermi energy, states/eV per cell: 3.3
Crystal system: cubic

***

Entry 4:
Material: MnCl2
Method: DFT, PBE
State: optimized geometry

Unit cell a=5.947 b=6.195 c=3.747 alpha=90.00 beta=90.00 gamma=90.00
Sites, in units of the cell vectors:
1 Mn 0.000 0.000 0.000
2 Mn 0.500 0.500 0.500
3 Cl 0.219 0.172 0.500
4 Cl 0.281 0.672 0.000
5 Cl 0.719 0.328 0.000
6 Cl 0.781 0.828 0.500

Formation energy without anion corrections, eV/f.u.: -3.121
Crystal system: orthorhombic

***

Entry 5:
Material: AlB2Rh
Method: DFT, PBE
State: optimized geometry

Unit cell a=5.066 b=5.066 c=8.796 alpha=90.00 beta=90.00 gamma=90.00
Sites, in units of the cell vectors:
1 Al 0.000 0.000 0.000
2 Al 0.000 0.500 0.250
3 Al 0.500 0.000 0.750
4 Al 0.500 0.500 0.500
5 B 0.217 0.250 0.625
6 B 0.250 0.717 0.875
7 B 0.250 0.783 0.375
8 B 0.283 0.250 0.125
9 B 0.717 0.750 0.125
10 B 0.750 0.217 0.375
11 B 0.750 0.283 0.875
12 B 0.783 0.750 0.625
13 Rh 0.000 0.000 0.500
14 Rh 0.000 0.500 0.750
15 Rh 0.500 0.000 0.250
16 Rh 0.500 0.500 0.000

E_form, meV per atom: 488
DOS at the Fermi energy, states/eV per cell: 8.8
Crystal system: tetragonal

***

Entry 6:
Material: CdCuNO2
Method: DFT, PBE
State: optimized geometry

Unit cell a=3.957 b=3.957 c=3.654 alpha=90.00 beta=90.00 gamma=90.00
Sites, in units of the cell vectors:
1 Cd 0.000 0.000 0.000
2 Cu 0.500 0.500 0.500
3 N 0.500 0.500 0.000
4 O 0.000 0.500 0.500
5 O 0.500 0.000 0.500

DOS at the Fermi energy, states/eV per cell: 2.6
Formation energy without anion corrections, eV/f.u.: 2.009
Crystal system: tetragonal

***

Taking the records one at a time from the top gives spin magnetization values of 0.00, 0.00, 0.00, 10.00, 0.00, 1.80 Bohr magnetons per cell.